No. 1
Below is HfUNi4 after structural relaxation, with properties calculated at the PBE level.

Lattice parameters (Å, degrees): 4.953 4.953 4.953 60.00 60.00 60.00
Fractional coordinates of all 6 atoms:
Hf: 0.000 0.000 0.000
U: 0.750 0.750 0.750
Ni: 0.374 0.374 0.374
Ni: 0.374 0.374 0.877
Ni: 0.374 0.877 0.374
Ni: 0.877 0.374 0.374

Results
E_tot, eV per cell: -46.06
Total moment, μB per formula unit: 2.27
ΔE_f, eV per atom: -0.283

---

No. 2
Below is HfUNi14 after structural relaxation, with properties calculated at the PBE level.

Lattice parameters (Å, degrees): 5.239 5.239 7.054 90.00 90.00 90.00
Fractional coordinates of all 16 atoms:
Hf: 0.000 0.000 0.000
U: 0.500 0.500 0.000
Ni: 0.000 0.000 0.500
Ni: 0.000 0.500 0.000
Ni: 0.000 0.500 0.500
Ni: 0.252 0.252 0.263
Ni: 0.252 0.252 0.737
Ni: 0.252 0.748 0.263
Ni: 0.252 0.748 0.737
Ni: 0.500 0.000 0.000
Ni: 0.500 0.000 0.500
Ni: 0.500 0.500 0.500
Ni: 0.748 0.252 0.263
Ni: 0.748 0.252 0.737
Ni: 0.748 0.748 0.263
Ni: 0.748 0.748 0.737

Results
E_tot, eV per cell: -105.00
Total moment, μB per formula unit: 2.33
ΔE_f, eV per atom: -0.176